1.
ZrMn3Nb: optimized geometry, PBE.

a = 4.592 Å, b = 4.592 Å, c = 4.592 Å
α = 90.00°, β = 90.00°, γ = 90.00°
Space group Pm-3m (No. 221)
Symmetry-distinct sites (fractional):
Zr 0.000 0.000 0.000
Mn 0.000 0.500 0.500
Nb 0.500 0.500 0.500

Size of the total moment = 6.7 μB per formula unit
V = 96.8 Å³ per cell
Energy above the lowest structure with this stoichiometry = 0.0 meV/atom
Formation energy = 5.077 eV/f.u.

2.
NiBPd2W: optimized geometry, PBE.

a = 4.827 Å, b = 4.827 Å, c = 4.513 Å
α = 90.00°, β = 90.00°, γ = 90.00°
Space group P4/mmm (No. 123)
Symmetry-distinct sites (fractional):
Ni 0.000 0.000 0.000
B 0.500 0.500 0.000
Pd 0.000 0.500 0.500
W 0.000 0.000 0.500

Size of the total moment = 0.0 μB per formula unit
V = 105.1 Å³ per cell
Formation energy = 10.468 eV/f.u.

3.
Ba3TiNb4O15: optimized geometry, PBE.

a = 4.096 Å, b = 12.744 Å, c = 12.805 Å
α = 90.00°, β = 90.08°, γ = 90.00°
Space group Pc (No. 7)
Symmetry-distinct sites (fractional):
Ba 0.000 0.053 0.000
Ba 0.003 0.396 0.348
Ba 0.986 0.247 0.648
Ti 0.463 0.176 0.443
Nb 0.465 0.326 0.870
Nb 0.472 0.036 0.735
Nb 0.472 0.462 0.581
Nb 0.558 0.246 0.155
O 0.008 0.040 0.722
O 0.008 0.327 0.854
O 0.009 0.456 0.568
O 0.011 0.246 0.148
O 0.026 0.177 0.442
O 0.503 0.241 0.991
O 0.504 0.388 0.713
O 0.505 0.031 0.368
O 0.507 0.182 0.784
O 0.508 0.091 0.142
O 0.508 0.403 0.153
O 0.508 0.466 0.930
O 0.510 0.109 0.575
O 0.512 0.322 0.502
O 0.513 0.251 0.304

ΔE_f (raw) = -2812.9 meV/atom
Size of the total moment = 0.0 μB per formula unit
V = 668.4 Å³ per cell
Energy above the lowest structure with this stoichiometry = 2.5 meV/atom

4.
Hg2BiBN: optimized geometry, PBE.

a = 4.307 Å, b = 4.307 Å, c = 5.733 Å
α = 90.00°, β = 90.00°, γ = 90.00°
Space group P4/mmm (No. 123)
Symmetry-distinct sites (fractional):
Hg 0.000 0.500 0.000
Bi 0.000 0.000 0.500
B 0.000 0.000 0.000
N 0.500 0.500 0.500

ΔE_f (raw) = 1258.5 meV/atom
Size of the total moment = 0.9 μB per formula unit
V = 106.3 Å³ per cell

5.
Zn2SnSe2: optimized geometry, PBE.

a = 3.908 Å, b = 3.908 Å, c = 16.226 Å
α = 90.00°, β = 90.00°, γ = 90.00°
Space group I4/mmm (No. 139)
Symmetry-distinct sites (fractional):
Zn 0.000 0.500 0.250
Sn 0.000 0.000 0.000
Se 0.000 0.000 0.352

ΔE_f (raw) = -100.9 meV/atom
Size of the total moment = 0.0 μB per formula unit
V = 247.9 Å³ per cell

6.
NiBi3Au: optimized geometry, PBE.

a = 5.504 Å, b = 5.504 Å, c = 5.504 Å
α = 90.00°, β = 90.00°, γ = 90.00°
Space group Pm-3m (No. 221)
Symmetry-distinct sites (fractional):
Ni 0.000 0.000 0.000
Bi 0.000 0.500 0.500
Au 0.500 0.500 0.500

Size of the total moment = 0.0 μB per formula unit
V = 166.7 Å³ per cell
Energy above the lowest structure with this stoichiometry = 1024.4 meV/atom
Formation energy = 4.897 eV/f.u.

7.
Sm5Sb2Te2: optimized geometry, PBE.

a = 15.743 Å, b = 8.234 Å, c = 8.246 Å
α = 90.00°, β = 90.00°, γ = 90.00°
Space group Cmce (No. 64)
Symmetry-distinct sites (fractional):
Sm 0.000 0.000 0.000
Sm 0.135 0.159 0.342
Sb 0.000 0.143 0.642
Te 0.199 0.000 0.000

ΔE_f (raw) = -1151.1 meV/atom
Size of the total moment = 0.0 μB per formula unit
V = 1069.0 Å³ per cell
Energy above the lowest structure with this stoichiometry = 0.0 meV/atom

8.
La2SmEr8: optimized geometry, PBE.

a = 18.159 Å, b = 5.053 Å, c = 7.967 Å
α = 90.00°, β = 105.27°, γ = 90.00°
Space group C2/m (No. 12)
Symmetry-distinct sites (fractional):
La 0.227 0.000 0.137
Sm 0.000 0.500 0.500
Er 0.043 0.000 0.227
Er 0.089 0.500 0.954
Er 0.135 0.000 0.676
Er 0.181 0.500 0.406

Size of the total moment = 0.0 μB per formula unit
V = 705.2 Å³ per cell
Energy above the lowest structure with this stoichiometry = 0.0 meV/atom
Formation energy = 0.367 eV/f.u.